The following is a PBE-GGA calculation of a geometry-optimized AgAsW2 structure, from the Alexandria database.

Properties
Symmetry: Cmmm, No. 65
Volume (Å³/cell): 66.1
Uncorrected energy (eV for the cell shown): -30.28
Crystal system: orthorhombic

a b c (Å): 5.129 5.129 2.777
angles (deg): 90.00 90.00 115.30
Fractional coordinates of all 4 atoms:
W1 0.500 0.500 0.000
As1 0.000 0.500 0.500
Ag1 0.500 0.000 0.500
W2 0.000 0.000 0.000